[1]
# MnCu2GeS4 (PBE, relaxed)
# formation energy (no corrections)	-3.23	eV per formula unit
# M_tot	5.003	μB/f.u.
data_MnCu2GeS4
_symmetry_space_group_name_H-M 'P 1'
_symmetry_Int_Tables_number 1
_cell_length_a 6.249
_cell_length_b 6.513
_cell_length_c 7.605
_cell_angle_alpha 90.00
_cell_angle_beta 90.00
_cell_angle_gamma 90.00
loop_
_symmetry_equiv_pos_as_xyz
'x,y,z'
loop_
_atom_site_label
_atom_site_fract_x
_atom_site_fract_y
_atom_site_fract_z
Mn1 0.503 0.840 0.000
Mn2 0.003 0.160 0.500
Cu1 0.009 0.674 0.250
Cu2 0.009 0.674 0.750
Cu3 0.509 0.326 0.750
Cu4 0.509 0.326 0.250
Ge1 0.502 0.828 0.500
Ge2 0.002 0.172 0.000
S1 0.377 0.660 0.259
S2 0.877 0.340 0.241
S3 0.877 0.340 0.759
S4 0.377 0.660 0.741
S5 0.367 0.183 0.000
S6 0.888 0.841 0.000
S7 0.867 0.817 0.500
S8 0.388 0.159 0.500

=====

[2]
# MnCuGeSb2 (PBE, relaxed)
# formation energy (no corrections)	3.20	eV per formula unit
# M_tot	4.317	μB/f.u.
data_MnCuGeSb2
_symmetry_space_group_name_H-M 'P 1'
_symmetry_Int_Tables_number 1
_cell_length_a 5.050
_cell_length_b 5.050
_cell_length_c 4.713
_cell_angle_alpha 90.00
_cell_angle_beta 90.00
_cell_angle_gamma 90.00
loop_
_symmetry_equiv_pos_as_xyz
'x,y,z'
loop_
_atom_site_label
_atom_site_fract_x
_atom_site_fract_y
_atom_site_fract_z
Sb1 0.000 0.500 0.000
Sb2 0.500 0.000 0.000
Ge1 0.500 0.500 0.500
Mn1 0.000 0.000 0.500
Cu1 0.000 0.000 0.000

=====

[3]
# Mn2CuSnGe (PBE, relaxed)
# M_tot	7.917	μB/f.u.
# E_form	1287	meV per atom
data_Mn2CuSnGe
_symmetry_space_group_name_H-M 'P 1'
_symmetry_Int_Tables_number 1
_cell_length_a 5.040
_cell_length_b 5.267
_cell_length_c 5.040
_cell_angle_alpha 90.00
_cell_angle_beta 90.00
_cell_angle_gamma 90.00
loop_
_symmetry_equiv_pos_as_xyz
'x,y,z'
loop_
_atom_site_label
_atom_site_fract_x
_atom_site_fract_y
_atom_site_fract_z
Ge1 0.000 0.500 0.000
Mn1 0.000 0.000 0.500
Mn2 0.500 0.000 0.000
Sn1 0.000 0.000 0.000
Cu1 0.500 0.500 0.500

=====

[4]
# SrMnCuGe2 (PBE, relaxed)
# M_tot	3.445	μB/f.u.
# E_form	-330	meV per atom
data_SrMnCuGe2
_symmetry_space_group_name_H-M 'P 1'
_symmetry_Int_Tables_number 1
_cell_length_a 4.284
_cell_length_b 4.284
_cell_length_c 6.112
_cell_angle_alpha 110.52
_cell_angle_beta 110.52
_cell_angle_gamma 90.00
loop_
_symmetry_equiv_pos_as_xyz
'x,y,z'
loop_
_atom_site_label
_atom_site_fract_x
_atom_site_fract_y
_atom_site_fract_z
Sr1 0.000 0.000 0.000
Mn1 0.750 0.250 0.500
Cu1 0.250 0.750 0.500
Ge1 0.627 0.627 0.254
Ge2 0.373 0.373 0.746

=====

[5]
# TbMnCuGe2 (PBE, relaxed)
# M_tot	3.293	μB/f.u.
# E_form	-463	meV per atom
data_TbMnCuGe2
_symmetry_space_group_name_H-M 'P 1'
_symmetry_Int_Tables_number 1
_cell_length_a 4.063
_cell_length_b 4.063
_cell_length_c 6.035
_cell_angle_alpha 109.67
_cell_angle_beta 109.67
_cell_angle_gamma 90.00
loop_
_symmetry_equiv_pos_as_xyz
'x,y,z'
loop_
_atom_site_label
_atom_site_fract_x
_atom_site_fract_y
_atom_site_fract_z
Tb1 0.000 0.000 0.000
Mn1 0.750 0.250 0.500
Cu1 0.250 0.750 0.500
Ge1 0.619 0.619 0.237
Ge2 0.381 0.381 0.763

=====

[6]
# MnCu2GeTe4 (PBE, relaxed)
# formation energy (no corrections)	-0.82	eV per formula unit
# M_tot	4.584	μB/f.u.
data_MnCu2GeTe4
_symmetry_space_group_name_H-M 'P 1'
_symmetry_Int_Tables_number 1
_cell_length_a 6.124
_cell_length_b 6.124
_cell_length_c 7.426
_cell_angle_alpha 114.35
_cell_angle_beta 114.35
_cell_angle_gamma 90.00
loop_
_symmetry_equiv_pos_as_xyz
'x,y,z'
loop_
_atom_site_label
_atom_site_fract_x
_atom_site_fract_y
_atom_site_fract_z
Mn1 0.000 0.000 0.000
Ge1 0.500 0.500 0.000
Te1 0.383 0.383 0.266
Te2 0.117 0.617 0.734
Te3 0.617 0.117 0.734
Te4 0.883 0.883 0.266
Cu1 0.250 0.750 0.500
Cu2 0.750 0.250 0.500

=====

[7]
# MnTl2CuGe (PBE, relaxed)
# M_tot	4.139	μB/f.u.
# excess energy over the best structure of this formula in the dataset	0.024	eV per atom
# E_form	655	meV per atom
data_MnTl2CuGe
_symmetry_space_group_name_H-M 'P 1'
_symmetry_Int_Tables_number 1
_cell_length_a 5.070
_cell_length_b 4.824
_cell_length_c 5.070
_cell_angle_alpha 90.00
_cell_angle_beta 90.00
_cell_angle_gamma 90.00
loop_
_symmetry_equiv_pos_as_xyz
'x,y,z'
loop_
_atom_site_label
_atom_site_fract_x
_atom_site_fract_y
_atom_site_fract_z
Tl1 0.000 0.000 0.500
Tl2 0.500 0.000 0.000
Mn1 0.000 0.500 0.000
Ge1 0.500 0.500 0.500
Cu1 0.000 0.000 0.000

=====

[8]
# MnTl2CuGe (PBE, relaxed)
# M_tot	4.457	μB/f.u.
# excess energy over the best structure of this formula in the dataset	0.000	eV per atom
# E_form	631	meV per atom
data_MnTl2CuGe
_symmetry_space_group_name_H-M 'P 1'
_symmetry_Int_Tables_number 1
_cell_length_a 5.267
_cell_length_b 4.627
_cell_length_c 5.267
_cell_angle_alpha 90.00
_cell_angle_beta 90.00
_cell_angle_gamma 90.00
loop_
_symmetry_equiv_pos_as_xyz
'x,y,z'
loop_
_atom_site_label
_atom_site_fract_x
_atom_site_fract_y
_atom_site_fract_z
Tl1 0.000 0.000 0.500
Tl2 0.500 0.000 0.000
Mn1 0.500 0.500 0.500
Ge1 0.000 0.500 0.000
Cu1 0.000 0.000 0.000

=====

Which value of M_tot does entry 8 give? 4.457 μB/f.u.